VASP calculation (PBE) on crystalline LaTl2Mo at its relaxed geometry.

Cell: 4.438 4.438 11.386 Å, 78.76 78.76 90.00°
Element x y z (fractional)
1 Tl 0.375 0.410 0.750
2 La 0.000 0.000 0.000
3 Mo 0.250 0.750 0.500
4 La 0.750 0.250 0.500
5 Tl 0.160 0.625 0.250
6 Tl 0.590 0.125 0.250
7 Mo 0.500 0.500 0.000
8 Tl 0.875 0.840 0.750

Computed properties:
Crystal system = tetragonal
Uncorrected energy = -4.506 eV/atom
Formation energy from the elements = 616.8 meV/atom
Density = 9.92 Mg/m³